# 1
Material: Ag7Br6
Method: DFT, PBE
State: optimized geometry

N(E_F), states/eV per cell: 10.96
V, Å³/atom: 25.60
Magnetization, μB/f.u.: 0.0
Total DFT energy (no corrections), eV per atom: -2.435

Cell: 6.2989 6.2989 29.0587 Å, 90.00 90.00 120.00°
With the nearest neighbours (Å) after each atom.
Space group R-3m (No. 166, hexagonal axes)
Inequivalent atoms, fractional coordinates:
Ag 0.0000 0.0000 0.0000 x3  6 Ag 3.04
Ag 0.0239 0.5119 0.5796 x18  2 Br 2.65-2.75, 2 Ag 2.92
Br 0.0000 0.0000 0.1617 x6  3 Ag 2.75
Br 0.0000 0.0000 0.3080 x6  3 Ag 2.65
Br 0.0000 0.0000 0.4286 x6  6 Ag 3.16, 1 Br 3.50



# 2
Material: AgC2Br
Method: DFT, PBE
State: optimized geometry

N(E_F), states/eV per cell: 3.70
V, Å³/atom: 17.02
Magnetization, μB/f.u.: 0.0
Total DFT energy (no corrections), eV per atom: -3.308
Excess energy over the best structure of this formula in the dataset, meV/atom: 0

Cell: 5.1206 5.1206 10.3855 Å, 90.00 90.00 90.00°
With the nearest neighbours (Å) after each atom.
Space group I-42d (No. 122)
Inequivalent atoms, fractional coordinates:
Ag 0.0000 0.0000 0.0000 x4  4 C 2.15
C 0.2231 0.2500 0.1250 x8  2 Ag 2.15, 2 Br 2.31
Br 0.0000 0.0000 0.5000 x4  4 C 2.31



# 3
Material: Ag3CBr
Method: DFT, PBE
State: optimized geometry

N(E_F), states/eV per cell: 0.76
V, Å³/atom: 29.09
Magnetization, μB/f.u.: 2.2
Total DFT energy (no corrections), eV per atom: -2.054
Excess energy over the best structure of this formula in the dataset, meV/atom: 993

Cell: 5.2590 5.2590 5.2590 Å, 90.00 90.00 90.00°
With the nearest neighbours (Å) after each atom.
Space group Pm-3m (No. 221)
Inequivalent atoms, fractional coordinates:
Ag 0.0000 0.0000 0.5000 x3  2 Br 2.63
C 0.5000 0.5000 0.5000 x1  12 Ag 3.72
Br 0.0000 0.0000 0.0000 x1  6 Ag 2.63